No. 1
DFT (PBE-GGA) results for a relaxed SbPt2 crystal.

Structure (POSCAR):
```
SbPt2
1.0
3.7104 0.0269 0.2308
0.0269 3.7104 0.2308
-1.6180 -1.6180 3.8018
Sb Pt
1 2
Cartesian
1.8686 1.8686 0.2308 Sb
0.1281 0.1281 1.3891 Pt
1.9912 1.9912 2.8742 Pt
```

Calculated values
Raw formation energy: -0.198 eV/atom



No. 2
DFT (PBE-GGA) results for a relaxed Sb2Pt crystal.

Structure (POSCAR):
```
Sb2Pt
1.0
-0.5273 4.5802 -0.8867
-0.7842 1.4660 -4.3907
-4.2146 1.6901 -1.1931
Pt Sb
1 2
Cartesian
0.0000 0.0000 0.0000 Pt
-4.1446 5.8022 -4.8529 Sb
-1.3815 1.9341 -1.6176 Sb
```

Calculated values
Raw formation energy: -0.296 eV/atom



No. 3
DFT (PBE-GGA) results for a relaxed SbPt4 crystal.

Structure (POSCAR):
```
SbPt4
1.0
-1.8790 -3.6419 3.0533
-0.8038 4.5809 2.1181
-2.3361 -0.2109 -4.5404
Sb Pt
1 4
Cartesian
0.0000 0.0000 0.0000 Sb
-0.9395 -1.8210 1.5267 Pt
-2.5094 0.3640 0.3155 Pt
-0.4019 2.2904 1.0591 Pt
-1.1681 -0.1055 -2.2702 Pt
```

Calculated values
Excess energy over the best structure of this formula in the dataset: 419 meV/atom
Raw formation energy: 0.304 eV/atom



No. 4
DFT (PBE-GGA) results for a relaxed SbPt crystal.

Structure (POSCAR):
```
SbPt
1.0
-1.3977 -0.5037 -3.6302
4.1763 -3.3337 -1.1454
-2.1300 -3.0978 1.2499
Pt Sb
2 2
Cartesian
-0.2789 -0.4057 0.1637 Pt
-0.1067 -4.0945 -1.5099 Pt
-2.0475 -2.2133 -1.0237 Sb
1.6618 -2.2869 -0.3225 Sb
```

Calculated values
Raw formation energy: -0.304 eV/atom



No. 5
DFT (PBE-GGA) results for a relaxed SbPt crystal.

Structure (POSCAR):
```
SbPt
1.0
7.3815 0.0000 0.0000
0.0000 7.3815 0.0000
0.0000 0.0000 7.3815
Sb Pt
6 6
Cartesian
1.8454 3.6908 0.0000 Sb
5.5361 3.6908 0.0000 Sb
3.6908 0.0000 1.8454 Sb
3.6908 0.0000 5.5361 Sb
0.0000 1.8454 3.6908 Sb
0.0000 5.5361 3.6908 Sb
1.8454 0.0000 3.6908 Pt
5.5361 0.0000 3.6908 Pt
0.0000 3.6908 1.8454 Pt
0.0000 3.6908 5.5361 Pt
3.6908 1.8454 0.0000 Pt
3.6908 5.5361 0.0000 Pt
```

Calculated values
Raw formation energy: -0.035 eV/atom



No. 6
DFT (PBE-GGA) results for a relaxed SbPt crystal.

Structure (POSCAR):
```
SbPt
1.0
-1.3913 2.3856 2.5808
-0.7577 -3.6954 0.2393
6.4197 -1.0305 4.4134
Pt Sb
2 2
Cartesian
0.0737 -0.0118 0.0506 Pt
0.3511 0.1128 2.8530 Pt
2.7264 -0.4376 1.8744 Sb
4.1181 -0.4919 5.4428 Sb
```

Calculated values
Raw formation energy: -0.209 eV/atom



Question: Which value of raw formation energy does entry 5 give?
Answer: -0.035 eV/atom